P:
BaSr: optimized geometry, PBEsol.

Cell lengths 7.3574, 7.0138, 8.5230 Å; angles 90.00, 90.00, 90.00 degrees
Closest atoms and distances in Å follow each position.
Element x y z (fractional)
Ba: 0.0827 0.2500 0.1230  8 Sr 4.23-4.30, 4 Ba 4.26-4.27
Ba: 0.4173 0.7500 0.6230  8 Sr 4.23-4.30, 4 Ba 4.26-4.27
Ba: 0.5827 0.2500 0.3770  8 Sr 4.23-4.30, 4 Ba 4.26-4.27
Ba: 0.9173 0.7500 0.8770  8 Sr 4.23-4.30, 4 Ba 4.26-4.27
Sr: 0.0802 0.2500 0.6251  8 Ba 4.23-4.30, 4 Sr 4.25-4.27
Sr: 0.4198 0.7500 0.1251  8 Ba 4.23-4.30, 4 Sr 4.25-4.27
Sr: 0.5802 0.2500 0.8749  8 Ba 4.23-4.30, 4 Sr 4.25-4.27
Sr: 0.9198 0.7500 0.3749  8 Ba 4.23-4.30, 4 Sr 4.25-4.27

Space group ... Pnma
D(E_F) ... 11.376 states/eV/cell
Total moment ... 0.00 μB per formula unit

***

Q:
BaSr: optimized geometry, PBEsol.

Cell lengths 7.6937, 7.6937, 7.6937 Å; angles 90.00, 90.00, 90.00 degrees
Closest atoms and distances in Å follow each position.
Element x y z (fractional)
Ba: 0.0969 0.4031 0.5969  7 Sr 4.06-4.14
Ba: 0.4031 0.5969 0.0969  7 Sr 4.06-4.14
Ba: 0.5969 0.0969 0.4031  7 Sr 4.06-4.14
Ba: 0.9031 0.9031 0.9031  7 Sr 4.06-4.14
Sr: 0.0987 0.9013 0.4013  7 Ba 4.06-4.14
Sr: 0.4013 0.0987 0.9013  7 Ba 4.06-4.14
Sr: 0.5987 0.5987 0.5987  7 Ba 4.06-4.14
Sr: 0.9013 0.4013 0.0987  7 Ba 4.06-4.14

Space group ... P2_13
D(E_F) ... 9.834 states/eV/cell
Total moment ... 0.00 μB per formula unit

***

Least stable of them? Q.

***

P:
PtAuBr2: optimized geometry, PBEsol.

Cell lengths 7.1363, 7.1363, 7.1363 Å; angles 153.85, 142.71, 46.11 degrees
Closest atoms and distances in Å follow each position.
Element x y z (fractional)
Pt: 0.0000 0.0000 0.0000  4 Br 2.58, 4 Au 2.79
Au: 0.5000 0.5000 0.0000  4 Pt 2.79, 4 Br 3.04
Br: 0.1529 0.6529 0.5000  2 Pt 2.58
Br: 0.8471 0.3471 0.5000  2 Pt 2.58

Space group ... Immm
D(E_F) ... 1.996 states/eV/cell
Total moment ... 0.00 μB per formula unit

***

Q:
PtAuBr2: optimized geometry, PBEsol.

Cell lengths 7.6879, 7.6879, 7.6879 Å; angles 28.24, 28.24, 28.24 degrees
Closest atoms and distances in Å follow each position.
Element x y z (fractional)
Pt: 0.0000 0.0000 0.0000  3 Br 2.55, 3 Au 2.65
Au: 0.2643 0.2643 0.2643  3 Pt 2.65, 3 Br 2.69
Br: 0.5259 0.5259 0.5259  3 Au 2.69
Br: 0.7275 0.7275 0.7275  3 Pt 2.55

Space group ... R3m
D(E_F) ... 5.030 states/eV/cell
Total moment ... 0.04 μB per formula unit

***

Least stable of them? P.

***

P:
YMgCu: optimized geometry, PBEsol.

Cell lengths 6.6762, 5.4193, 7.3646 Å; angles 90.00, 109.03, 90.00 degrees
Closest atoms and distances in Å follow each position.
Element x y z (fractional)
Y: 0.1586 0.1129 0.3651  5 Cu 2.86-3.02
Y: 0.1586 0.3871 0.8651  5 Cu 2.86-3.02
Y: 0.8414 0.6129 0.1349  5 Cu 2.86-3.02
Y: 0.8414 0.8871 0.6349  5 Cu 2.86-3.02
Mg: 0.4244 0.6144 0.2996  3 Cu 2.68-2.87
Mg: 0.4244 0.8856 0.7996  3 Cu 2.68-2.87
Mg: 0.5756 0.1144 0.2004  3 Cu 2.68-2.87
Mg: 0.5756 0.3856 0.7004  3 Cu 2.68-2.87
Cu: 0.1699 0.6087 0.5159  1 Cu 2.50, 2 Mg 2.68
Cu: 0.1699 0.8913 0.0159  1 Cu 2.50, 2 Mg 2.68
Cu: 0.8301 0.1087 0.9841  1 Cu 2.50, 2 Mg 2.68
Cu: 0.8301 0.3913 0.4841  1 Cu 2.50, 2 Mg 2.68

Space group ... P2_1/c
D(E_F) ... 7.972 states/eV/cell
Total moment ... 0.00 μB per formula unit

***

Q:
YMgCu: optimized geometry, PBEsol.

Cell lengths 6.5662, 6.5662, 7.5151 Å; angles 90.00, 90.00, 127.74 degrees
Closest atoms and distances in Å follow each position.
Element x y z (fractional)
Y: 0.1850 0.8150 0.8981  4 Cu 2.81-3.10
Y: 0.3150 0.6850 0.3981  4 Cu 2.81-3.10
Y: 0.6850 0.3150 0.6019  4 Cu 2.81-3.10
Y: 0.8150 0.1850 0.1019  4 Cu 2.81-3.10
Mg: 0.1923 0.3077 0.7500  4 Cu 2.72-2.77, 2 Mg 2.89
Mg: 0.3077 0.1923 0.2500  4 Cu 2.72-2.77, 2 Mg 2.89
Mg: 0.6923 0.8077 0.7500  4 Cu 2.72-2.77, 2 Mg 2.89
Mg: 0.8077 0.6923 0.2500  4 Cu 2.72-2.77, 2 Mg 2.89
Cu: 0.0968 0.9032 0.5497  1 Cu 2.40
Cu: 0.4032 0.5968 0.0497  1 Cu 2.40
Cu: 0.5968 0.4032 0.9503  1 Cu 2.40
Cu: 0.9032 0.0968 0.4503  1 Cu 2.40

Space group ... Cmce
D(E_F) ... 10.068 states/eV/cell
Total moment ... 0.00 μB per formula unit

***

Least stable of them? Q.

***

P:
TaTl2Zn: optimized geometry, PBEsol.

Cell lengths 5.3246, 5.3246, 5.1962 Å; angles 105.14, 105.14, 34.24 degrees
Closest atoms and distances in Å follow each position.
Element x y z (fractional)
Ta: 0.0000 0.0000 0.0000  6 Tl 3.02-3.10, 4 Zn 3.03, 2 Ta 3.13
Tl: 0.2437 0.2437 0.7490  3 Zn 2.92-3.21, 6 Tl 3.02-3.13, 3 Ta 3.02-3.10
Tl: 0.7563 0.7563 0.2510  3 Zn 2.92-3.21, 6 Tl 3.02-3.13, 3 Ta 3.02-3.10
Zn: 0.5000 0.5000 0.5000  6 Tl 2.92-3.21, 4 Ta 3.03, 2 Zn 3.13

Space group ... C2/m
D(E_F) ... 1.833 states/eV/cell
Total moment ... 0.00 μB per formula unit

***

Q:
TaTl2Zn: optimized geometry, PBEsol.

Cell lengths 4.9099, 4.9099, 4.9099 Å; angles 60.00, 60.00, 60.00 degrees
Closest atoms and distances in Å follow each position.
Element x y z (fractional)
Ta: 0.0000 0.0000 0.0000  4 Tl 3.01, 4 Zn 3.01
Tl: 0.2500 0.2500 0.2500  4 Tl 3.01, 4 Ta 3.01
Tl: 0.5000 0.5000 0.5000  4 Tl 3.01, 4 Zn 3.01
Zn: 0.7500 0.7500 0.7500  4 Ta 3.01, 4 Tl 3.01

Space group ... F-43m
D(E_F) ... 5.102 states/eV/cell
Total moment ... 1.08 μB per formula unit

***

Least stable of them? Q.

***

P:
YMg2Cu2: optimized geometry, PBEsol.

Cell lengths 6.5812, 6.5812, 6.5812 Å; angles 144.76, 144.76, 50.69 degrees
Closest atoms and distances in Å follow each position.
Element x y z (fractional)
Y: 0.0000 0.0000 0.0000  8 Cu 3.05
Mg: 0.2500 0.7500 0.5000  4 Cu 2.68, 4 Mg 2.82
Mg: 0.7500 0.2500 0.5000  4 Cu 2.68, 4 Mg 2.82
Cu: 0.4008 0.4008 0.0000  1 Cu 2.36
Cu: 0.5992 0.5992 0.0000  1 Cu 2.36

Space group ... I4/mmm
D(E_F) ... 3.094 states/eV/cell
Total moment ... 0.00 μB per formula unit

***

Q:
YMg2Cu2: optimized geometry, PBEsol.

Cell lengths 4.7499, 3.7961, 10.7957 Å; angles 90.00, 96.63, 90.00 degrees
Closest atoms and distances in Å follow each position.
Element x y z (fractional)
Y: 0.1836 0.2500 0.2423  7 Cu 2.96-3.23, 2 Mg 3.29
Y: 0.8164 0.7500 0.7577  7 Cu 2.96-3.23, 2 Mg 3.29
Mg: 0.2477 0.7500 0.4934  4 Cu 2.60-2.89
Mg: 0.3516 0.2500 0.8956  5 Cu 2.48-2.67
Mg: 0.6484 0.7500 0.1044  5 Cu 2.48-2.67
Mg: 0.7523 0.2500 0.5066  4 Cu 2.60-2.89
Cu: 0.1348 0.7500 0.0309  2 Cu 2.34, 2 Mg 2.48-2.53
Cu: 0.2940 0.2500 0.6591  3 Mg 2.54-2.60
Cu: 0.7060 0.7500 0.3409  3 Mg 2.54-2.60
Cu: 0.8652 0.2500 0.9691  2 Cu 2.34, 2 Mg 2.48-2.53

Space group ... P2_1/m
D(E_F) ... 6.546 states/eV/cell
Total moment ... 0.00 μB per formula unit

***

Least stable of them? Q.

***

P:
LiFeP4O12: optimized geometry, PBEsol.

Cell lengths 5.0035, 12.9307, 7.1340 Å; angles 90.00, 99.32, 90.00 degrees
Closest atoms and distances in Å follow each position.
Element x y z (fractional)
Li: 0.1055 0.0000 0.1216  2 O 1.84-1.91
Li: 0.8945 0.5000 0.8784  2 O 1.84-1.91
Fe: 0.0087 0.6705 0.5818  6 O 1.87-1.92
Fe: 0.9913 0.1705 0.4182  6 O 1.87-1.92
P: 0.2728 0.7814 0.9511  4 O 1.48-1.64
P: 0.3571 0.1342 0.8196  4 O 1.47-1.62
P: 0.4729 0.5389 0.5094  4 O 1.51-1.59
P: 0.4809 0.3147 0.3910  4 O 1.50-1.59
P: 0.5191 0.8147 0.6090  4 O 1.50-1.59
P: 0.5271 0.0389 0.4906  4 O 1.51-1.59
P: 0.6429 0.6342 0.1804  4 O 1.47-1.62
P: 0.7272 0.2814 0.0489  4 O 1.48-1.64
O: 0.1058 0.1602 0.6810  1 P 1.51
O: 0.1070 0.8627 0.0211  1 P 1.48
O: 0.1438 0.6862 0.8471  1 P 1.52
O: 0.1876 0.2954 0.4051  1 P 1.51
O: 0.2044 0.5427 0.5803  1 P 1.51
O: 0.2860 0.0869 0.3647  1 P 1.51
O: 0.3142 0.7383 0.5152  1 P 1.50
O: 0.3282 0.0731 0.9888  1 P 1.47
O: 0.4339 0.5746 0.2951  2 P 1.58-1.62
O: 0.4411 0.9209 0.5018  2 P 1.59
O: 0.4763 0.8352 0.8214  2 P 1.59-1.64
O: 0.4864 0.7409 0.1278  2 P 1.60
O: 0.5136 0.2409 0.8722  2 P 1.60
O: 0.5237 0.3352 0.1786  2 P 1.59-1.64
O: 0.5589 0.4209 0.4982  2 P 1.59
O: 0.5661 0.0746 0.7049  2 P 1.58-1.62
O: 0.6718 0.5731 0.0112  1 P 1.47
O: 0.6858 0.2383 0.4848  1 P 1.50
O: 0.7140 0.5869 0.6353  1 P 1.51
O: 0.7956 0.0427 0.4197  1 P 1.51
O: 0.8124 0.7954 0.5949  1 P 1.51
O: 0.8562 0.1862 0.1529  1 P 1.52
O: 0.8930 0.3627 0.9789  1 P 1.48
O: 0.8942 0.6602 0.3190  1 P 1.51

Space group ... P2_1
D(E_F) ... 18.328 states/eV/cell
Total moment ... 1.00 μB per formula unit

***

Q:
LiFeP4O12: optimized geometry, PBEsol.

Cell lengths 12.4133, 8.2932, 8.8700 Å; angles 90.00, 90.00, 90.00 degrees
Closest atoms and distances in Å follow each position.
Element x y z (fractional)
Li: 0.0000 0.0095 0.2500  4 O 1.89-2.00
Li: 0.0000 0.9905 0.7500  4 O 1.89-2.00
Li: 0.5000 0.4905 0.7500  4 O 1.89-2.00
Li: 0.5000 0.5095 0.2500  4 O 1.89-2.00
Fe: 0.0000 0.3664 0.2500  6 O 1.88-1.92
Fe: 0.0000 0.6336 0.7500  6 O 1.88-1.92
Fe: 0.5000 0.1336 0.7500  6 O 1.88-1.92
Fe: 0.5000 0.8664 0.2500  6 O 1.88-1.92
P: 0.1392 0.1827 0.0023  4 O 1.47-1.62
P: 0.1392 0.8173 0.5023  4 O 1.47-1.62
P: 0.1469 0.4629 0.5101  4 O 1.51-1.59
P: 0.1469 0.5371 0.0101  4 O 1.51-1.59
P: 0.3531 0.0371 0.0101  4 O 1.51-1.59
P: 0.3531 0.9629 0.5101  4 O 1.51-1.59
P: 0.3608 0.3173 0.5023  4 O 1.47-1.62
P: 0.3608 0.6827 0.0023  4 O 1.47-1.62
P: 0.6392 0.3173 0.9977  4 O 1.47-1.62
P: 0.6392 0.6827 0.4977  4 O 1.47-1.62
P: 0.6469 0.0371 0.4899  4 O 1.51-1.59
P: 0.6469 0.9629 0.9899  4 O 1.51-1.59
P: 0.8531 0.4629 0.9899  4 O 1.51-1.59
P: 0.8531 0.5371 0.4899  4 O 1.51-1.59
P: 0.8608 0.1827 0.4977  4 O 1.47-1.62
P: 0.8608 0.8173 0.9977  4 O 1.47-1.62
O: 0.0592 0.1947 0.1312  1 P 1.52
O: 0.0592 0.8053 0.6312  1 P 1.52
O: 0.0624 0.4664 0.6320  1 P 1.51
O: 0.0624 0.5336 0.1320  1 P 1.51
O: 0.1080 0.0917 0.8666  1 P 1.47
O: 0.1080 0.9083 0.3666  1 P 1.47
O: 0.1235 0.3613 0.3728  1 P 1.51
O: 0.1235 0.6387 0.8728  1 P 1.51
O: 0.1802 0.3601 0.9588  2 P 1.59-1.60
O: 0.1802 0.6399 0.4588  2 P 1.59-1.60
O: 0.2454 0.1075 0.0809  2 P 1.59-1.62
O: 0.2454 0.8925 0.5809  2 P 1.59-1.62
O: 0.2546 0.3925 0.5809  2 P 1.59-1.62
O: 0.2546 0.6075 0.0809  2 P 1.59-1.62
O: 0.3198 0.1399 0.4588  2 P 1.59-1.60
O: 0.3198 0.8601 0.9588  2 P 1.59-1.60
O: 0.3765 0.1387 0.8728  1 P 1.51
O: 0.3765 0.8613 0.3728  1 P 1.51
O: 0.3920 0.4083 0.3666  1 P 1.47
O: 0.3920 0.5917 0.8666  1 P 1.47
O: 0.4376 0.0336 0.1320  1 P 1.51
O: 0.4376 0.9664 0.6320  1 P 1.51
O: 0.4408 0.3053 0.6312  1 P 1.52
O: 0.4408 0.6947 0.1312  1 P 1.52
O: 0.5592 0.3053 0.8688  1 P 1.52
O: 0.5592 0.6947 0.3688  1 P 1.52
O: 0.5624 0.0336 0.3680  1 P 1.51
O: 0.5624 0.9664 0.8680  1 P 1.51
O: 0.6080 0.4083 0.1334  1 P 1.47
O: 0.6080 0.5917 0.6334  1 P 1.47
O: 0.6235 0.1387 0.6272  1 P 1.51
O: 0.6235 0.8613 0.1272  1 P 1.51
O: 0.6802 0.1399 0.0412  2 P 1.59-1.60
O: 0.6802 0.8601 0.5412  2 P 1.59-1.60
O: 0.7454 0.3925 0.9191  2 P 1.59-1.62
O: 0.7454 0.6075 0.4191  2 P 1.59-1.62
O: 0.7546 0.1075 0.4191  2 P 1.59-1.62
O: 0.7546 0.8925 0.9191  2 P 1.59-1.62
O: 0.8198 0.3601 0.5412  2 P 1.59-1.60
O: 0.8198 0.6399 0.0412  2 P 1.59-1.60
O: 0.8765 0.3613 0.1272  1 P 1.51
O: 0.8765 0.6387 0.6272  1 P 1.51
O: 0.8920 0.0917 0.6334  1 P 1.47
O: 0.8920 0.9083 0.1334  1 P 1.47
O: 0.9376 0.4664 0.8680  1 P 1.51
O: 0.9376 0.5336 0.3680  1 P 1.51
O: 0.9408 0.1947 0.3688  1 P 1.52
O: 0.9408 0.8053 0.8688  1 P 1.52

Space group ... Pbcn
D(E_F) ... 33.645 states/eV/cell
Total moment ... 1.00 μB per formula unit

***

Least stable of them? P.